# TlCd2TeSe

TlCd2TeSe at its PBEsol-relaxed geometry (meta-GGA SCAN, Alexandria via LeMat-Bulk).

a = 5.6516 Å, b = 5.4885 Å, c = 5.4885 Å
α = 90.00°, β = 90.00°, γ = 90.00°
Fractional positions:
Cd1 0.0000 0.0000 0.5000
Te1 0.0000 0.0000 0.0000
Se1 0.5000 0.0000 0.0000
Tl1 0.5000 0.5000 0.5000
Cd2 0.0000 0.5000 0.0000

Values from the calculation:
Final energy = -189.4 eV for the cell shown
Mass density = 6.2 g cm⁻³
Space group = P4/mmm, No. 123



# RbTcBi2

RbTcBi2 at its PBEsol-relaxed geometry (meta-GGA SCAN, Alexandria via LeMat-Bulk).

a = 5.1507 Å, b = 5.1507 Å, c = 5.1507 Å
α = 60.00°, β = 60.00°, γ = 60.00°
Fractional positions:
Tc1 0.5000 0.5000 0.5000
Bi1 0.7500 0.7500 0.7500
Bi2 0.2500 0.2500 0.2500
Rb1 0.0000 0.0000 0.0000

Values from the calculation:
Final energy = -210.0 eV for the cell shown
DFT formation energy = 2.971 eV per formula unit
Mass density = 10.3 g cm⁻³
Space group = Fm-3m, No. 225



# BeTeSe2Br

BeTeSe2Br at its PBEsol-relaxed geometry (meta-GGA SCAN, Alexandria via LeMat-Bulk).

a = 4.4491 Å, b = 4.7599 Å, c = 4.7599 Å
α = 90.00°, β = 90.00°, γ = 90.00°
Fractional positions:
Br1 0.5000 0.0000 0.0000
Se1 0.0000 0.0000 0.5000
Se2 0.0000 0.5000 0.0000
Be1 0.0000 0.0000 0.0000
Te1 0.5000 0.5000 0.5000

Values from the calculation:
Final energy = -100.6 eV for the cell shown
Mass density = 6.2 g cm⁻³
Space group = P4/mmm, No. 123